## Ac2PrErSe4 (GGA-PBE)

Data for crystalline Ac2PrErSe4 at its relaxed geometry.

## Properties
- DFT total energy: -5.741 eV per atom
- Formation energy without anion corrections: -1.804 eV per atom

CIF file:
```
data_Ac2PrErSe4
_chemical_formula_sum 'Ac2 Pr1 Er1 Se4'
_symmetry_space_group_name_H-M 'P 1 2/m 1'
_symmetry_Int_Tables_number 10
_symmetry_space_group_name_Hall '-P 2y'
_cell_length_a 7.3699
_cell_length_b 4.2073
_cell_length_c 7.6905
_cell_angle_alpha 90.00
_cell_angle_beta 108.25
_cell_angle_gamma 90.00
loop_
_atom_site_label
_atom_site_type_symbol
_atom_site_fract_x
_atom_site_fract_y
_atom_site_fract_z
Ac1 Ac 0.0000 0.0000 0.0000
Ac2 Ac 0.5000 0.5000 0.0000
Pr1 Pr 0.0000 0.5000 0.5000
Er1 Er 0.5000 0.0000 0.5000
Se1 Se 0.2534 0.0000 0.7294
Se2 Se 0.2694 0.5000 0.2776
```